No. 1
Material: La12Ru3O5
Method: DFT, PBE
State: optimized geometry Values from VASP.

Output
* crystal system: cubic
* E_form (uncorrected): -1.425 eV per atom

```
&SYSTEM
  ibrav = 0, nat = 80, ntyp = 3
/
ATOMIC_SPECIES
La 138.91 La.upf
Ru 101.07 Ru.upf
O 16.00 O.upf
ATOMIC_POSITIONS angstrom
La -1.152 7.620 4.636
La 0.091 4.208 4.577
La -0.665 8.308 1.000
La 5.751 1.937 1.355
La -2.392 2.813 6.991
La 6.993 3.695 4.281
La 9.869 6.542 2.059
La 1.636 1.800 10.272
La 6.993 11.622 0.296
La 8.626 0.705 5.340
La 6.325 7.213 5.932
La 1.636 -1.766 10.213
La 2.966 8.274 1.059
La -1.149 -3.459 7.991
La 8.052 -4.571 9.917
La -3.450 11.079 1.355
La 10.356 3.049 3.281
La 9.294 -2.813 6.991
La -4.024 5.802 5.932
La 9.113 1.394 0.296
La -2.879 7.526 8.917
La -1.149 4.571 9.917
La 1.723 4.785 7.695
La -1.723 -0.705 5.340
La -0.665 4.742 1.059
La -1.636 0.034 9.213
La 5.267 1.766 10.213
La 6.238 6.474 2.059
La 5.267 -1.800 10.272
La 2.210 8.808 4.577
La 2.879 1.723 3.577
La 5.751 9.967 3.281
La -0.578 1.018 2.355
La 4.511 2.300 6.695
La -4.511 5.114 10.976
La -2.392 -5.114 10.976
La 3.453 5.396 4.636
La -5.754 3.459 7.991
La 5.754 -1.112 6.636
La 0.578 8.231 7.695
La -5.267 -0.034 9.213
La 2.966 4.708 1.000
La 5.179 5.490 8.917
La 1.149 1.112 6.636
La -4.693 9.321 4.281
La 4.024 -1.723 3.577
La 7.480 -1.018 2.355
La 2.392 -2.300 6.695
Ru -3.451 2.440 9.863
Ru 8.053 4.067 1.409
Ru 5.752 0.813 4.227
Ru -3.451 -2.440 9.863
Ru 1.150 -0.813 4.227
Ru 3.451 7.321 7.045
Ru 1.150 6.508 2.818
Ru -1.150 5.694 7.045
Ru 3.451 0.000 8.454
Ru 10.354 0.000 2.818
Ru 8.053 8.948 1.409
Ru -5.752 6.508 8.454
O 4.602 -3.254 5.636
O 4.602 6.508 0.000
O -2.301 6.508 0.000
O -1.150 0.813 7.045
O 5.752 -4.067 9.863
O 1.150 4.067 9.863
O 2.301 3.254 5.636
O -4.602 3.254 5.636
O 6.903 0.000 0.000
O 3.451 9.762 2.818
O 0.000 0.000 0.000
O 8.053 -0.813 7.045
O -2.301 -3.254 5.636
O -1.150 3.254 2.818
O 5.752 3.254 8.454
O -1.150 10.575 1.409
O 5.752 5.694 4.227
O -3.451 7.321 4.227
O 1.150 -3.254 8.454
O 3.451 2.440 1.409
CELL_PARAMETERS angstrom
13.806 0.000 0.000
-4.602 13.016 0.000
-4.602 -6.508 11.272
```


No. 2
Material: LiTaNi
Method: DFT, PBE
State: optimized geometry Values from VASP.

Output
* crystal system: tetragonal
* offset from the most stable computed form: 0.025 eV per atom
* ΔH_f (0 K): 0.159 eV per atom

```
&SYSTEM
  ibrav = 0, nat = 3, ntyp = 3
/
ATOMIC_SPECIES
Ni 58.69 Ni.upf
Ta 180.95 Ta.upf
Li 6.94 Li.upf
ATOMIC_POSITIONS angstrom
Ni -3.336 -1.402 1.383
Ta -6.821 -2.866 2.827
Li -9.739 -4.092 4.036
CELL_PARAMETERS angstrom
-5.968 -0.958 0.810
-3.980 -3.222 3.313
4.925 3.522 -0.727
```